# 1
! GGA-PBE Rb3DyEr2Te6, optimized geometry; values from VASP
&SYSTEM
  ibrav = 0, nat = 12, ntyp = 4
/
ATOMIC_SPECIES
Rb 85.47 Rb.upf
Dy 162.50 Dy.upf
Er 167.26 Er.upf
Te 127.60 Te.upf
CELL_PARAMETERS angstrom
-0.092 -5.043 -5.958
-0.207 -2.633 7.346
-8.442 2.867 -0.592
ATOMIC_POSITIONS crystal
Rb 0.166 0.834 0.500
Rb 0.834 0.166 0.500
Rb 0.500 0.500 0.500
Dy 0.000 0.000 0.000
Er 0.333 0.667 0.000
Er 0.667 0.333 0.000
Te 0.934 0.599 0.802
Te 0.731 0.731 0.198
Te 0.066 0.401 0.198
Te 0.599 0.934 0.802
Te 0.269 0.269 0.802
Te 0.401 0.066 0.198
! ΔE_f (raw) ... -16.5 eV per formula unit
! Raw total energy ... -52.0 eV/cell

---

# 2
! GGA-PBE Rb3DyEr3Te8, optimized geometry; values from VASP
&SYSTEM
  ibrav = 0, nat = 15, ntyp = 4
/
ATOMIC_SPECIES
Rb 85.47 Rb.upf
Dy 162.50 Dy.upf
Er 167.26 Er.upf
Te 127.60 Te.upf
CELL_PARAMETERS angstrom
8.766 -0.001 -0.001
-4.384 7.597 -0.034
0.000 -5.026 8.860
ATOMIC_POSITIONS crystal
Rb 0.000 0.000 0.000
Rb 0.000 0.500 0.000
Rb 0.500 0.500 0.000
Dy 0.000 0.000 0.500
Er 0.500 0.000 0.500
Er 0.500 0.500 0.500
Er 0.000 0.500 0.500
Te 0.267 0.534 0.302
Te 0.733 0.466 0.698
Te 0.765 0.530 0.301
Te 0.235 0.470 0.699
Te 0.765 0.036 0.301
Te 0.235 0.964 0.699
Te 0.271 0.036 0.301
Te 0.729 0.964 0.699
! ΔE_f (raw) ... -19.6 eV per formula unit
! Raw total energy ... -65.9 eV/cell